1.
A relaxed structure of GaHPd3, computed with PBE.

abc: 5.6342 7.9498 5.6390
angles: 90.00 90.00 90.00
Last column: nearest neighbours and their distance in Å.
Fractional positions:
Ga 0.0242 0.2500 0.0043  8 Pd 2.59-2.76
Ga 0.4758 0.7500 0.5043  8 Pd 2.59-2.76
Ga 0.5242 0.2500 0.4957  8 Pd 2.59-2.76
Ga 0.9758 0.7500 0.9957  8 Pd 2.59-2.76
H 0.0000 0.0000 0.5000  6 Pd 2.00-2.01
H 0.0000 0.5000 0.5000  6 Pd 2.00-2.01
H 0.5000 0.0000 0.0000  6 Pd 2.00-2.01
H 0.5000 0.5000 0.0000  6 Pd 2.00-2.01
Pd 0.0025 0.7500 0.4534  2 H 2.00
Pd 0.2230 0.5239 0.7771  2 H 2.01
Pd 0.2230 0.9761 0.7771  2 H 2.01
Pd 0.2770 0.0239 0.2771  2 H 2.01
Pd 0.2770 0.4761 0.2771  2 H 2.01
Pd 0.4975 0.2500 0.9534  2 H 2.00
Pd 0.5025 0.7500 0.0466  2 H 2.00
Pd 0.7230 0.5239 0.7229  2 H 2.01
Pd 0.7230 0.9761 0.7229  2 H 2.01
Pd 0.7770 0.0239 0.2229  2 H 2.01
Pd 0.7770 0.4761 0.2229  2 H 2.01
Pd 0.9975 0.2500 0.5466  2 H 2.00

Output
The polymorph energy (0 for the lowest one) is 0.00 eV/f.u. Its space group is Pnma. The value obtained for the total energy is -4.839 eV/atom.

=====

2.
A relaxed structure of SnB2Cl, computed with PBE.

abc: 5.1977 5.1977 11.0773
angles: 90.00 90.00 90.00
Last column: nearest neighbours and their distance in Å.
Fractional positions:
Sn 0.0000 0.0000 0.0000  4 B 2.27
Sn 0.0000 0.5000 0.2500  4 B 2.27
Sn 0.5000 0.0000 0.7500  4 B 2.27
Sn 0.5000 0.5000 0.5000  4 B 2.27
B 0.2394 0.2500 0.1250  2 Sn 2.27, 2 Cl 2.33
B 0.2500 0.7394 0.3750  2 Sn 2.27, 2 Cl 2.33
B 0.2500 0.7606 0.8750  2 Sn 2.27, 2 Cl 2.33
B 0.2606 0.2500 0.6250  2 Sn 2.27, 2 Cl 2.33
B 0.7394 0.7500 0.6250  2 Sn 2.27, 2 Cl 2.33
B 0.7500 0.2394 0.8750  2 Sn 2.27, 2 Cl 2.33
B 0.7500 0.2606 0.3750  2 Sn 2.27, 2 Cl 2.33
B 0.7606 0.7500 0.1250  2 Sn 2.27, 2 Cl 2.33
Cl 0.0000 0.0000 0.5000  4 B 2.33
Cl 0.0000 0.5000 0.7500  4 B 2.33
Cl 0.5000 0.0000 0.2500  4 B 2.33
Cl 0.5000 0.5000 0.0000  4 B 2.33

Output
The formation energy (no corrections) comes out at 1.194 eV per atom. The polymorph energy (0 for the lowest one) is 0.00 eV/f.u. Its space group is I-42d. The value obtained for the total energy is -3.607 eV/atom.

=====

3.
A relaxed structure of HoPbO2, computed with PBE.

abc: 3.4750 3.4750 21.2539
angles: 90.00 90.00 120.00
Last column: nearest neighbours and their distance in Å.
Fractional positions:
Ho 0.0000 0.0000 0.0000  6 O 2.29
Ho 0.3333 0.6667 0.6667  6 O 2.29
Ho 0.6667 0.3333 0.3333  6 O 2.29
Pb 0.0000 0.0000 0.5000  2 O 2.45
Pb 0.3333 0.6667 0.1667  2 O 2.45
Pb 0.6667 0.3333 0.8333  2 O 2.45
O 0.0000 0.0000 0.3849  3 Ho 2.29, 1 Pb 2.45
O 0.0000 0.0000 0.6151  3 Ho 2.29, 1 Pb 2.45
O 0.3333 0.6667 0.0515  3 Ho 2.29, 1 Pb 2.45
O 0.3333 0.6667 0.2818  3 Ho 2.29, 1 Pb 2.45
O 0.6667 0.3333 0.7182  3 Ho 2.29, 1 Pb 2.45
O 0.6667 0.3333 0.9485  3 Ho 2.29, 1 Pb 2.45

Output
The formation energy (no corrections) comes out at -2.434 eV per atom. The polymorph energy (0 for the lowest one) is 0.00 eV/f.u. Its space group is R-3m. The value obtained for the total energy is -6.985 eV/atom.

=====

4.
A relaxed structure of LiZr2Br, computed with PBE.

abc: 6.8327 6.8327 6.8327
angles: 90.00 90.00 90.00
Last column: nearest neighbours and their distance in Å.
Fractional positions:
Li 0.0000 0.0000 0.0000  8 Zr 2.96
Li 0.0000 0.5000 0.5000  8 Zr 2.96
Li 0.5000 0.0000 0.5000  8 Zr 2.96
Li 0.5000 0.5000 0.0000  8 Zr 2.96
Zr 0.2500 0.2500 0.2500  4 Br 2.96, 4 Li 2.96
Zr 0.2500 0.2500 0.7500  4 Li 2.96, 4 Br 2.96
Zr 0.2500 0.7500 0.2500  4 Li 2.96, 4 Br 2.96
Zr 0.2500 0.7500 0.7500  4 Li 2.96, 4 Br 2.96
Zr 0.7500 0.2500 0.2500  4 Li 2.96, 4 Br 2.96
Zr 0.7500 0.2500 0.7500  4 Li 2.96, 4 Br 2.96
Zr 0.7500 0.7500 0.2500  4 Li 2.96, 4 Br 2.96
Zr 0.7500 0.7500 0.7500  4 Li 2.96, 4 Br 2.96
Br 0.0000 0.0000 0.5000  8 Zr 2.96
Br 0.0000 0.5000 0.0000  8 Zr 2.96
Br 0.5000 0.0000 0.0000  8 Zr 2.96
Br 0.5000 0.5000 0.5000  8 Zr 2.96

Output
The formation energy (no corrections) comes out at 0.251 eV per atom. The polymorph energy (0 for the lowest one) is 2.46 eV/f.u. Its space group is Fm-3m. The value obtained for the total energy is -4.919 eV/atom.

=====

5.
A relaxed structure of Mn2Fe2Tc, computed with PBE.

abc: 6.7368 6.7368 2.5226
angles: 90.00 90.00 90.00
Last column: nearest neighbours and their distance in Å.
Fractional positions:
Mn 0.1215 0.3785 0.0000  3 Mn 2.31-2.52, 6 Fe 2.34-2.37
Mn 0.3785 0.8785 0.0000  3 Mn 2.31-2.52, 6 Fe 2.34-2.37
Mn 0.6215 0.1215 0.0000  3 Mn 2.31-2.52, 6 Fe 2.34-2.37
Mn 0.8785 0.6215 0.0000  3 Mn 2.31-2.52, 6 Fe 2.34-2.37
Fe 0.1718 0.6718 0.5000  6 Mn 2.34-2.37, 2 Fe 2.52
Fe 0.3282 0.1718 0.5000  6 Mn 2.34-2.37, 2 Fe 2.52
Fe 0.6718 0.8282 0.5000  6 Mn 2.34-2.37, 2 Fe 2.52
Fe 0.8282 0.3282 0.5000  6 Mn 2.34-2.37, 2 Fe 2.52
Tc 0.0000 0.0000 0.0000  2 Tc 2.52, 4 Mn 2.68, 8 Fe 2.80
Tc 0.5000 0.5000 0.0000  2 Tc 2.52, 4 Mn 2.68, 8 Fe 2.80

Output
As for the formation energy from the elements: 69.0 kJ/mol of formula units. The polymorph energy (0 for the lowest one) is 0.02 eV/f.u. Its space group is P4/mbm. The value obtained for the total energy is -8.983 eV/atom.

=====

6.
A relaxed structure of ZrMo3P, computed with PBE.

abc: 4.5017 4.5017 4.5017
angles: 90.00 90.00 90.00
Last column: nearest neighbours and their distance in Å.
Fractional positions:
Zr 0.0000 0.0000 0.0000  12 Mo 3.18
Mo 0.0000 0.5000 0.5000  2 P 2.25
Mo 0.5000 0.0000 0.5000  2 P 2.25
Mo 0.5000 0.5000 0.0000  2 P 2.25
P 0.5000 0.5000 0.5000  6 Mo 2.25

Output
As for the formation energy from the elements: 106.3 kJ/mol of formula units. The polymorph energy (0 for the lowest one) is 0.00 eV/f.u. Its space group is Pm-3m. The value obtained for the total energy is -9.070 eV/atom.

=====

7.
A relaxed structure of ErFe3As3, computed with PBE.

abc: 6.3989 6.3989 6.3989
angles: 90.00 90.00 90.00
Last column: nearest neighbours and their distance in Å.
Fractional positions:
Er 0.0000 0.0000 0.0000  12 As 3.58, 12 Fe 3.58
Er 0.5000 0.5000 0.5000  12 As 3.58, 12 Fe 3.58
Fe 0.0000 0.2500 0.5000  4 As 2.26
Fe 0.0000 0.7500 0.5000  4 As 2.26
Fe 0.2500 0.5000 0.0000  4 As 2.26
Fe 0.5000 0.0000 0.2500  4 As 2.26
Fe 0.5000 0.0000 0.7500  4 As 2.26
Fe 0.7500 0.5000 0.0000  4 As 2.26
As 0.0000 0.5000 0.2500  4 Fe 2.26
As 0.0000 0.5000 0.7500  4 Fe 2.26
As 0.2500 0.0000 0.5000  4 Fe 2.26
As 0.5000 0.2500 0.0000  4 Fe 2.26
As 0.5000 0.7500 0.0000  4 Fe 2.26
As 0.7500 0.0000 0.5000  4 Fe 2.26

Output
As for the formation energy from the elements: 24.0 kJ/mol of formula units. Its space group is Pm-3n. The value obtained for the total energy is -6.236 eV/atom.

=====

8.
A relaxed structure of Sc3Co2Si2, computed with PBE.

abc: 5.2148 7.2461 12.0050
angles: 90.00 90.00 90.00
Last column: nearest neighbours and their distance in Å.
Fractional positions:
Sc 0.1266 0.2427 0.2500  5 Si 2.77-3.00, 4 Co 2.79-2.90
Sc 0.1266 0.2573 0.7500  5 Si 2.77-3.00, 4 Co 2.79-2.90
Sc 0.3589 0.6024 0.1013  4 Co 2.59-2.88, 2 Si 2.76
Sc 0.3589 0.6024 0.3987  4 Co 2.59-2.88, 2 Si 2.76
Sc 0.3589 0.8976 0.6013  4 Co 2.59-2.88, 2 Si 2.76
Sc 0.3589 0.8976 0.8987  4 Co 2.59-2.88, 2 Si 2.76
Sc 0.6411 0.1024 0.1013  4 Co 2.59-2.88, 2 Si 2.76
Sc 0.6411 0.1024 0.3987  4 Co 2.59-2.88, 2 Si 2.76
Sc 0.6411 0.3976 0.6013  4 Co 2.59-2.88, 2 Si 2.76
Sc 0.6411 0.3976 0.8987  4 Co 2.59-2.88, 2 Si 2.76
Sc 0.8734 0.7427 0.2500  5 Si 2.77-3.00, 4 Co 2.79-2.90
Sc 0.8734 0.7573 0.7500  5 Si 2.77-3.00, 4 Co 2.79-2.90
Co 0.1418 0.5324 0.5880  3 Si 2.31-2.35
Co 0.1418 0.5324 0.9120  3 Si 2.31-2.35
Co 0.1418 0.9676 0.0880  3 Si 2.31-2.35
Co 0.1418 0.9676 0.4120  3 Si 2.31-2.35
Co 0.8582 0.0324 0.5880  3 Si 2.31-2.35
Co 0.8582 0.0324 0.9120  3 Si 2.31-2.35
Co 0.8582 0.4676 0.0880  3 Si 2.31-2.35
Co 0.8582 0.4676 0.4120  3 Si 2.31-2.35
Si 0.1243 0.2500 0.0000  4 Co 2.31-2.35
Si 0.1243 0.2500 0.5000  4 Co 2.31-2.35
Si 0.3626 0.6067 0.7500  2 Co 2.32
Si 0.3626 0.8933 0.2500  2 Co 2.32
Si 0.6374 0.1067 0.7500  2 Co 2.32
Si 0.6374 0.3933 0.2500  2 Co 2.32
Si 0.8757 0.7500 0.0000  4 Co 2.31-2.35
Si 0.8757 0.7500 0.5000  4 Co 2.31-2.35

Output
The formation energy (no corrections) comes out at -0.726 eV per atom. Its space group is Pbcm. The value obtained for the total energy is -7.019 eV/atom.

=====

9.
A relaxed structure of NpH9Rh2, computed with PBE.

abc: 6.5576 6.5576 6.5576
angles: 98.06 98.06 136.02
Last column: nearest neighbours and their distance in Å.
Fractional positions:
Np 0.3750 0.6250 0.7500  10 H 2.27-2.46
Np 0.6250 0.3750 0.2500  10 H 2.27-2.46
H 0.1250 0.8750 0.2500  4 Rh 2.24, 2 Np 2.46
H 0.1598 0.2976 0.4020  1 H 1.67, 1 Rh 1.71
H 0.1598 0.7578 0.8622  1 H 1.67, 1 Rh 1.71
H 0.2422 0.6045 0.4020  1 H 1.67, 1 Rh 1.71
H 0.2422 0.8402 0.6378  1 H 1.67, 1 Rh 1.71
H 0.2976 0.1598 0.9020  1 H 1.67, 1 Rh 1.71
H 0.2976 0.3955 0.1378  1 H 1.67, 1 Rh 1.71
H 0.3955 0.2976 0.6378  1 H 1.67, 1 Rh 1.71
H 0.3955 0.7578 0.0980  1 H 1.67, 1 Rh 1.71
H 0.6045 0.2422 0.9020  1 H 1.67, 1 Rh 1.71
H 0.6045 0.7024 0.3622  1 H 1.67, 1 Rh 1.71
H 0.7024 0.6045 0.8622  1 H 1.67, 1 Rh 1.71
H 0.7024 0.8402 0.0980  1 H 1.67, 1 Rh 1.71
H 0.7578 0.1598 0.3622  1 H 1.67, 1 Rh 1.71
H 0.7578 0.3955 0.5980  1 H 1.67, 1 Rh 1.71
H 0.8402 0.2422 0.1378  1 H 1.67, 1 Rh 1.71
H 0.8402 0.7024 0.5980  1 H 1.67, 1 Rh 1.71
H 0.8750 0.1250 0.7500  4 Rh 2.24, 2 Np 2.46
Rh 0.0000 0.0000 0.0000  4 H 1.71
Rh 0.0000 0.0000 0.5000  4 H 1.71
Rh 0.0000 0.5000 0.0000  4 H 1.71
Rh 0.5000 0.0000 0.5000  4 H 1.71

Output
Its space group is I4_1/amd. The value obtained for the total energy is -4.625 eV/atom.

=====

10.
A relaxed structure of HgRuSe2, computed with PBE.

abc: 5.1583 3.4245 5.5423
angles: 90.00 111.95 90.00
Last column: nearest neighbours and their distance in Å.
Fractional positions:
Hg 0.0000 0.0000 0.0000  2 Ru 2.77
Ru 0.0000 0.0000 0.5000  4 Se 2.47
Se 0.3709 0.5000 0.6565  2 Ru 2.47, 1 Se 2.55
Se 0.6291 0.5000 0.3435  2 Ru 2.47, 1 Se 2.55

Output
The formation energy (no corrections) comes out at -0.013 eV per atom. Its space group is P2/m. The value obtained for the total energy is -4.150 eV/atom.

=====

Please write out number 6 again, unchanged.
A relaxed structure of ZrMo3P, computed with PBE.

abc: 4.5017 4.5017 4.5017
angles: 90.00 90.00 90.00
Last column: nearest neighbours and their distance in Å.
Fractional positions:
Zr 0.0000 0.0000 0.0000  12 Mo 3.18
Mo 0.0000 0.5000 0.5000  2 P 2.25
Mo 0.5000 0.0000 0.5000  2 P 2.25
Mo 0.5000 0.5000 0.0000  2 P 2.25
P 0.5000 0.5000 0.5000  6 Mo 2.25

Output
As for the formation energy from the elements: 106.3 kJ/mol of formula units. The polymorph energy (0 for the lowest one) is 0.00 eV/f.u. Its space group is Pm-3m. The value obtained for the total energy is -9.070 eV/atom.